# 1
Compound: Re2SiAu
Source: Alexandria via LeMat-Bulk
Functional: GGA-PBEsol
Structure: relaxed

a b c (Å): 2.7238 4.7958 5.3194
angles (deg): 115.87 103.34 93.23
Last column: nearest neighbours and their distance in Å.
Fractional coordinates of all 4 atoms:
Au: 0.5000 0.0000 0.0000  4 Si 2.69-2.82, 4 Re 2.69, 2 Au 2.72
Re: 0.0000 0.0000 0.5000  6 Re 2.69-2.82, 2 Si 2.69, 2 Au 2.69
Re: 0.5000 0.5000 0.5000  6 Re 2.69-2.82, 2 Au 2.69, 2 Si 2.69
Si: 0.0000 0.5000 0.0000  4 Au 2.69-2.82, 4 Re 2.69, 2 Si 2.72

Results
The density of states at the Fermi level is 3.4 states/eV/f.u. The calculation puts the raw total energy at -8.584 eV per atom. The magnetization is 0.000 μB/atom. The formation energy from raw total energies is 500 meV per atom.

***

# 2
Compound: B4C
Source: Alexandria via LeMat-Bulk
Functional: GGA-PBEsol
Structure: relaxed

a b c (Å): 5.0909 5.0898 22.2783
angles (deg): 94.90 92.81 114.26
Last column: nearest neighbours and their distance in Å.
Fractional coordinates of all 70 atoms:
C: 0.2536 0.8717 0.1246  3 B 1.54-1.55
C: 0.2770 0.8021 0.4010  6 B 1.66-1.80
C: 0.9333 0.7448 0.6790  3 B 1.55
C: 0.8012 0.0760 0.1992  6 B 1.66-1.80
C: 0.6478 0.0770 0.7255  3 B 1.54-1.55
C: 0.8382 0.6889 0.5281  3 B 1.54
C: 0.4552 0.4675 0.9235  3 B 1.53-1.55
C: 0.0544 0.2650 0.3237  3 B 1.55-1.56
C: 0.7517 0.1227 0.8752  3 B 1.53-1.55
C: 0.5616 0.5095 0.0721  3 B 1.53-1.54
C: 0.3242 0.3412 0.6661  6 B 1.62-1.79
C: 0.1365 0.7267 0.8640  6 B 1.62-1.78
C: 0.3415 0.9307 0.2765  3 B 1.55-1.56
C: 0.1463 0.3302 0.4758  3 B 1.54-1.55
B: 0.5328 0.5948 0.7990  6 B 1.68-1.85
B: 0.2909 0.2660 0.0377  1 C 1.53
B: 0.9396 0.1236 0.0656  6 B 1.70-1.84
B: 0.8724 0.2606 0.1323  5 B 1.70-1.82, 1 C 1.80
B: 0.9216 0.3203 0.7595  1 C 1.54
B: 0.5285 0.9399 0.4679  5 B 1.70-1.82, 1 C 1.80
B: 0.8727 0.0604 0.9339  1 C 1.53
B: 0.7216 0.2100 0.6020  6 B 1.68-1.83
B: 0.7315 0.7055 0.9571  1 C 1.53
B: 0.7368 0.7309 0.4649  1 C 1.54
B: 0.0788 0.8494 0.9290  1 C 1.62, 3 B 1.78
B: 0.0087 0.3207 0.9985  6 B 1.68-1.84
B: 0.8430 0.0358 0.3600  1 C 1.55
B: 0.3358 0.5268 0.8633  2 C 1.55-1.71
B: 0.9357 0.3246 0.2634  2 C 1.55-1.73
B: 0.6712 0.6623 0.3343  6 B 1.69-1.86
B: 0.6667 0.4716 0.1353  1 C 1.54
B: 0.1966 0.9329 0.8013  5 B 1.68-1.82, 1 C 1.78
B: 0.3442 0.9829 0.9969  6 B 1.68-1.86
B: 0.2549 0.2836 0.5381  1 C 1.54
B: 0.1098 0.9325 0.5626  1 C 1.54
B: 0.4614 0.8724 0.3369  2 C 1.55-1.73
B: 0.2035 0.2655 0.7990  6 B 1.68-1.85
B: 0.1467 0.9159 0.0621  1 C 1.54
B: 0.2505 0.2247 0.9571  1 C 1.53
B: 0.6764 0.9885 0.9984  6 B 1.68-1.84
B: 0.6288 0.4522 0.5626  1 C 1.54
B: 0.2677 0.4629 0.7314  1 C 1.62, 3 B 1.78-1.79
B: 0.3201 0.5186 0.3598  2 C 1.56-1.74
B: 0.7281 0.5368 0.2659  6 B 1.69-1.86
B: 0.7704 0.7461 0.0377  1 C 1.53
B: 0.4666 0.4034 0.1999  6 B 1.69-1.86
B: 0.1470 0.9763 0.6431  2 C 1.55-1.71
B: 0.1321 0.3952 0.1990  5 B 1.69-1.82, 1 C 1.80
B: 0.5592 0.1603 0.2405  2 C 1.56-1.74
B: 0.7965 0.7478 0.1998  1 C 1.66, 4 B 1.80-1.86
B: 0.4595 0.0728 0.5349  6 B 1.70-1.83
B: 0.9483 0.7968 0.4004  1 C 1.66, 4 B 1.80-1.86
B: 0.6660 0.4952 0.6431  2 C 1.55-1.71
B: 0.0760 0.6830 0.2403  1 C 1.55
B: 0.4384 0.8372 0.7595  1 C 1.54
B: 0.0415 0.6395 0.1598  1 C 1.54
B: 0.5254 0.1170 0.1598  2 C 1.55-1.71
B: 0.5252 0.1400 0.6661  2 C 1.55-1.72
B: 0.9596 0.3607 0.8400  2 C 1.55-1.72
B: 0.5961 0.1329 0.4012  5 B 1.69-1.82, 1 C 1.80
B: 0.8677 0.6039 0.8013  5 B 1.68-1.82, 1 C 1.78
B: 0.0135 0.6521 0.9971  6 B 1.68-1.86
B: 0.4785 0.8796 0.8400  2 C 1.55-1.72
B: 0.3573 0.5655 0.4405  2 C 1.55-1.72
B: 0.0609 0.6752 0.7369  1 C 1.55
B: 0.0556 0.2176 0.6030  5 B 1.68-1.82, 1 C 1.79
B: 0.3909 0.8794 0.6021  6 B 1.68-1.83
B: 0.6038 0.4668 0.4003  6 B 1.69-1.86
B: 0.3847 0.5467 0.6032  5 B 1.68-1.82, 1 C 1.78
B: 0.8798 0.0819 0.4405  1 C 1.54

Results
The formation energy is -0.05 eV per formula unit. The density of states at the Fermi level is 0.6 states/eV/f.u. The calculation puts the raw total energy at -7.553 eV per atom. The magnetization is 0.013 μB/atom.

***

# 3
Compound: InAg2Pt
Source: Alexandria via LeMat-Bulk
Functional: GGA-PBEsol
Structure: relaxed

a b c (Å): 3.9758 3.9758 4.2670
angles (deg): 90.00 90.00 90.00
Last column: nearest neighbours and their distance in Å.
Fractional coordinates of all 4 atoms:
Ag: 0.5000 0.0000 0.0000  4 Ag 2.81, 4 In 2.92, 4 Pt 2.92
Ag: 0.0000 0.5000 0.0000  4 Ag 2.81, 4 In 2.92, 4 Pt 2.92
In: 0.5000 0.5000 0.5000  4 Pt 2.81, 8 Ag 2.92
Pt: 0.0000 0.0000 0.5000  4 In 2.81, 8 Ag 2.92

Results
The formation energy is -0.76 eV per formula unit. The density of states at the Fermi level is 1.5 states/eV/f.u. The calculation puts the raw total energy at -4.332 eV per atom. The magnetization is 0.000 μB/atom.